YThPt2: optimized geometry, PBE-GGA.

Output
- Excess energy over the best structure of this formula in the dataset: 0.154 eV/atom
- V: 23.258 Å³ per atom
- ΔE_f: -1.120 eV/atom
- Uncorrected energy: -7.611 eV per atom
- DOS(E_F): 2.6 states/eV per cell
- Magnetic moment: 0.00 μB per cell

Cell lengths 4.8791, 4.8791, 5.3197 Å; angles 62.70, 62.70, 60.00 degrees
Sites, in units of the cell vectors:
Y 0.5000 0.5000 0.5000
Pt 0.2259 0.2259 0.3224
Pt 0.7741 0.7741 0.6776
Th 0.0000 0.0000 0.0000